# ErScPt6

ErScPt6 after structural relaxation (PBE, Alexandria via LeMat-Bulk).

- Total moment: 0.00 μB/f.u.
- Energy of formation from the pure elements: -1.066 eV per atom
- DOS at the Fermi energy: 0.848 states/eV per atom
- Crystal system: tetragonal

Cell lengths 4.0565, 4.0565, 8.1038 Å; angles 90.00, 90.00, 90.00 degrees
Closest atoms and distances in Å follow each position.
Space group P4/mmm (No. 123)
One atom of each set of equivalent atoms:
Er: 0.0000 0.0000 0.0000 (multiplicity 1)  12 Pt 2.87-2.91
Sc: 0.0000 0.0000 0.5000 (multiplicity 1)  12 Pt 2.83-2.87
Pt: 0.0000 0.5000 0.2573 (multiplicity 4)  2 Sc 2.83, 8 Pt 2.83-2.91, 2 Er 2.91
Pt: 0.5000 0.5000 0.0000 (multiplicity 1)  4 Er 2.87, 8 Pt 2.91
Pt: 0.5000 0.5000 0.5000 (multiplicity 1)  8 Pt 2.83, 4 Sc 2.87